Density functional theory data (PBE) for an optimized crystal structure of KMg4Pb6. Values from VASP.

Quantum ESPRESSO input file:
```
&SYSTEM
  ibrav = 0, nat = 11, ntyp = 3
/
ATOMIC_SPECIES
K 39.10 K.upf
Mg 24.30 Mg.upf
Pb 207.20 Pb.upf
ATOMIC_POSITIONS crystal
K 0.000 0.000 0.000
Mg 0.500 0.789 0.579
Mg 0.500 0.421 0.211
Mg 0.500 0.789 0.211
Mg 0.000 0.333 0.667
Pb 0.000 0.533 0.066
Pb 0.500 0.600 0.800
Pb 0.000 0.533 0.467
Pb 0.000 0.934 0.467
Pb 0.500 0.200 0.800
Pb 0.500 0.200 0.400
CELL_PARAMETERS angstrom
-3.789 -3.229 -0.909
5.138 -4.480 -5.503
-0.225 -2.128 8.496
```

Summary:
- Energy of formation: -0.0358 eV/atom


Density functional theory data (PBE) for an optimized crystal structure of KMg4Pb. Values from VASP.

Quantum ESPRESSO input file:
```
&SYSTEM
  ibrav = 0, nat = 6, ntyp = 3
/
ATOMIC_SPECIES
K 39.10 K.upf
Mg 24.30 Mg.upf
Pb 207.20 Pb.upf
ATOMIC_POSITIONS crystal
K 0.000 0.000 0.000
Mg 0.873 0.376 0.376
Mg 0.376 0.376 0.873
Mg 0.376 0.873 0.376
Mg 0.376 0.376 0.376
Pb 0.750 0.750 0.750
CELL_PARAMETERS angstrom
4.746 -2.304 3.331
-1.134 -3.422 5.092
1.154 -6.132 -0.041
```

Summary:
- Energy of formation: 0.0657 eV/atom


Density functional theory data (PBE) for an optimized crystal structure of K2MgPb. Values from VASP.

Quantum ESPRESSO input file:
```
&SYSTEM
  ibrav = 0, nat = 4, ntyp = 3
/
ATOMIC_SPECIES
Pb 207.20 Pb.upf
K 39.10 K.upf
Mg 24.30 Mg.upf
ATOMIC_POSITIONS crystal
Pb 0.500 0.500 0.500
K 0.250 0.250 0.250
K 0.750 0.750 0.750
Mg 0.000 0.000 0.000
CELL_PARAMETERS angstrom
4.034 -4.465 0.044
3.787 -0.588 4.639
-0.635 -4.591 3.838
```

Summary:
- Energy of formation: 0.1470 eV/atom


Density functional theory data (PBE) for an optimized crystal structure of K3Mg2Pb7. Values from VASP.

Quantum ESPRESSO input file:
```
&SYSTEM
  ibrav = 0, nat = 12, ntyp = 3
/
ATOMIC_SPECIES
K 39.10 K.upf
Mg 24.30 Mg.upf
Pb 207.20 Pb.upf
ATOMIC_POSITIONS crystal
K 0.000 0.000 0.000
K 0.859 0.859 0.423
K 0.141 0.141 0.577
Mg 0.664 0.664 0.007
Mg 0.336 0.336 0.993
Pb 0.500 0.500 0.500
Pb 0.926 0.418 0.237
Pb 0.418 0.926 0.237
Pb 0.418 0.418 0.237
Pb 0.074 0.582 0.763
Pb 0.582 0.582 0.763
Pb 0.582 0.074 0.763
CELL_PARAMETERS angstrom
6.576 0.000 2.058
2.966 5.869 2.058
0.246 0.151 10.747
```

Summary:
- Energy of formation: -0.1445 eV/atom


Density functional theory data (PBE) for an optimized crystal structure of K3Mg6Pb5. Values from VASP.

Quantum ESPRESSO input file:
```
&SYSTEM
  ibrav = 0, nat = 28, ntyp = 3
/
ATOMIC_SPECIES
K 39.10 K.upf
Mg 24.30 Mg.upf
Pb 207.20 Pb.upf
ATOMIC_POSITIONS crystal
K 0.000 0.755 0.694
K 0.500 0.245 0.194
K 0.500 0.245 0.806
K 0.000 0.747 0.000
K 0.500 0.253 0.500
K 0.000 0.755 0.306
Mg 0.000 0.014 0.837
Mg 0.500 0.986 0.663
Mg 0.500 0.600 0.827
Mg 0.500 0.433 0.000
Mg 0.000 0.567 0.500
Mg 0.000 0.400 0.673
Mg 0.000 0.400 0.327
Mg 0.500 0.037 0.000
Mg 0.000 0.014 0.163
Mg 0.500 0.600 0.173
Mg 0.000 0.963 0.500
Mg 0.500 0.986 0.337
Pb 0.000 0.461 0.872
Pb 0.000 0.130 0.655
Pb 0.000 0.215 0.000
Pb 0.500 0.539 0.628
Pb 0.500 0.785 0.500
Pb 0.000 0.461 0.128
Pb 0.500 0.539 0.372
Pb 0.000 0.130 0.345
Pb 0.500 0.870 0.845
Pb 0.500 0.870 0.155
CELL_PARAMETERS angstrom
5.039 0.000 0.000
0.000 11.149 0.000
0.000 0.000 15.208
```

Summary:
- Energy of formation: -0.1001 eV/atom


Density functional theory data (PBE) for an optimized crystal structure of KMg2Pb. Values from VASP.

Quantum ESPRESSO input file:
```
&SYSTEM
  ibrav = 0, nat = 8, ntyp = 3
/
ATOMIC_SPECIES
Pb 207.20 Pb.upf
K 39.10 K.upf
Mg 24.30 Mg.upf
ATOMIC_POSITIONS crystal
Pb 0.000 0.000 0.000
Pb 0.750 0.250 0.500
K 0.500 0.500 0.000
K 0.250 0.750 0.500
Mg 0.875 0.125 0.250
Mg 0.875 0.625 0.250
Mg 0.375 0.125 0.750
Mg 0.875 0.125 0.750
CELL_PARAMETERS angstrom
5.945 0.000 0.000
0.000 5.945 0.000
2.972 2.972 9.941
```

Summary:
- Energy of formation: 0.1838 eV/atom


Density functional theory data (PBE) for an optimized crystal structure of KMgPb. Values from VASP.

Quantum ESPRESSO input file:
```
&SYSTEM
  ibrav = 0, nat = 3, ntyp = 3
/
ATOMIC_SPECIES
K 39.10 K.upf
Mg 24.30 Mg.upf
Pb 207.20 Pb.upf
ATOMIC_POSITIONS crystal
K 0.003 0.003 0.000
Mg 0.292 0.292 0.000
Pb 0.705 0.705 0.000
CELL_PARAMETERS angstrom
6.972 0.010 -0.012
4.545 5.286 0.012
-5.449 -3.321 2.808
```

Summary:
- Energy of formation: -0.0220 eV/atom


Density functional theory data (PBE) for an optimized crystal structure of K2MgPb. Values from VASP.

Quantum ESPRESSO input file:
```
&SYSTEM
  ibrav = 0, nat = 4, ntyp = 3
/
ATOMIC_SPECIES
K 39.10 K.upf
Mg 24.30 Mg.upf
Pb 207.20 Pb.upf
ATOMIC_POSITIONS crystal
K 0.000 0.000 0.990
K 0.000 0.000 0.510
Mg 0.500 0.500 0.250
Pb 0.500 0.500 0.750
CELL_PARAMETERS angstrom
-3.472 0.327 -1.210
0.168 -3.413 -1.395
-3.789 -4.170 9.745
```

Summary:
- Energy of formation: 0.1042 eV/atom


Density functional theory data (PBE) for an optimized crystal structure of KMg7Pb12. Values from VASP.

Quantum ESPRESSO input file:
```
&SYSTEM
  ibrav = 0, nat = 20, ntyp = 3
/
ATOMIC_SPECIES
K 39.10 K.upf
Mg 24.30 Mg.upf
Pb 207.20 Pb.upf
ATOMIC_POSITIONS crystal
K 0.000 0.000 0.000
Mg 0.500 0.000 0.500
Mg 0.500 0.500 0.000
Mg 0.000 0.500 0.500
Mg 0.000 0.000 0.500
Mg 0.500 0.000 0.000
Mg 0.500 0.500 0.500
Mg 0.000 0.500 0.000
Pb 0.356 0.248 0.604
Pb 0.356 0.752 0.108
Pb 0.644 0.752 0.396
Pb 0.644 0.248 0.892
Pb 0.604 0.356 0.248
Pb 0.892 0.644 0.248
Pb 0.396 0.644 0.752
Pb 0.108 0.356 0.752
Pb 0.752 0.108 0.356
Pb 0.248 0.892 0.644
Pb 0.248 0.604 0.356
Pb 0.752 0.396 0.644
CELL_PARAMETERS angstrom
-7.556 2.629 5.602
-2.944 -6.640 -6.529
7.026 -3.831 5.599
```

Summary:
- Energy of formation: 0.0899 eV/atom


Density functional theory data (PBE) for an optimized crystal structure of K3Mg7Pb4. Values from VASP.

Quantum ESPRESSO input file:
```
&SYSTEM
  ibrav = 0, nat = 14, ntyp = 3
/
ATOMIC_SPECIES
K 39.10 K.upf
Mg 24.30 Mg.upf
Pb 207.20 Pb.upf
ATOMIC_POSITIONS crystal
K 0.305 0.192 0.199
K 0.695 0.808 0.801
K 0.000 0.500 0.500
Mg 0.326 0.825 0.523
Mg 0.494 0.212 0.800
Mg 0.838 0.401 0.922
Mg 0.674 0.175 0.477
Mg 0.162 0.599 0.078
Mg 0.000 0.000 0.000
Mg 0.506 0.788 0.200
Pb 0.659 0.457 0.225
Pb 0.341 0.543 0.775
Pb 0.880 0.908 0.331
Pb 0.120 0.092 0.669
CELL_PARAMETERS angstrom
-3.320 3.100 2.110
-8.564 -4.008 -1.640
-2.824 -4.564 8.208
```

Summary:
- Energy of formation: -0.0682 eV/atom


Density functional theory data (PBE) for an optimized crystal structure of K2MgPb. Values from VASP.

Quantum ESPRESSO input file:
```
&SYSTEM
  ibrav = 0, nat = 4, ntyp = 3
/
ATOMIC_SPECIES
K 39.10 K.upf
Mg 24.30 Mg.upf
Pb 207.20 Pb.upf
ATOMIC_POSITIONS crystal
K 0.000 0.000 0.000
K 0.000 0.500 0.500
Mg 0.500 0.500 0.000
Pb 0.500 0.000 0.500
CELL_PARAMETERS angstrom
6.643 -0.001 0.004
-3.385 6.894 -0.004
0.070 2.065 3.266
```

Summary:
- Energy of formation: 0.0859 eV/atom


Density functional theory data (PBE) for an optimized crystal structure of K2MgPb7. Values from VASP.

Quantum ESPRESSO input file:
```
&SYSTEM
  ibrav = 0, nat = 10, ntyp = 3
/
ATOMIC_SPECIES
K 39.10 K.upf
Mg 24.30 Mg.upf
Pb 207.20 Pb.upf
ATOMIC_POSITIONS crystal
K 0.500 0.000 0.759
K 0.000 0.500 0.241
Mg 0.500 0.500 0.000
Pb 0.000 0.500 0.866
Pb 0.500 0.000 0.357
Pb 0.500 0.000 0.134
Pb 0.000 0.500 0.643
Pb 0.000 0.000 0.500
Pb 0.000 0.000 0.000
Pb 0.500 0.500 0.500
CELL_PARAMETERS angstrom
-4.770 1.059 -1.248
0.431 -2.896 -4.105
-4.465 -11.284 7.492
```

Summary:
- Energy of formation: -0.0786 eV/atom


Density functional theory data (PBE) for an optimized crystal structure of K6MgPb2. Values from VASP.

Quantum ESPRESSO input file:
```
&SYSTEM
  ibrav = 0, nat = 9, ntyp = 3
/
ATOMIC_SPECIES
K 39.10 K.upf
Mg 24.30 Mg.upf
Pb 207.20 Pb.upf
ATOMIC_POSITIONS crystal
K 0.578 0.578 0.267
K 0.809 0.809 0.572
K 0.700 0.700 0.900
K 0.191 0.191 0.428
K 0.422 0.422 0.733
K 0.300 0.300 0.100
Mg 0.000 0.000 0.000
Pb 0.916 0.916 0.253
Pb 0.084 0.084 0.747
CELL_PARAMETERS angstrom
6.195 0.000 1.701
2.864 5.493 1.701
0.065 0.040 11.895
```

Summary:
- Energy of formation: -0.1024 eV/atom


Density functional theory data (PBE) for an optimized crystal structure of KMg2Pb3. Values from VASP.

Quantum ESPRESSO input file:
```
&SYSTEM
  ibrav = 0, nat = 6, ntyp = 3
/
ATOMIC_SPECIES
K 39.10 K.upf
Mg 24.30 Mg.upf
Pb 207.20 Pb.upf
ATOMIC_POSITIONS crystal
K 0.000 0.000 0.000
Mg 0.000 0.667 0.333
Mg 0.000 0.333 0.667
Pb 0.500 0.000 0.500
Pb 0.500 0.500 0.500
Pb 0.500 0.500 0.000
CELL_PARAMETERS angstrom
4.663 0.000 0.000
0.000 5.986 -3.456
0.000 0.000 6.912
```

Summary:
- Energy of formation: -0.1052 eV/atom


Density functional theory data (PBE) for an optimized crystal structure of K2MgPb. Values from VASP.

Quantum ESPRESSO input file:
```
&SYSTEM
  ibrav = 0, nat = 4, ntyp = 3
/
ATOMIC_SPECIES
Pb 207.20 Pb.upf
K 39.10 K.upf
Mg 24.30 Mg.upf
ATOMIC_POSITIONS crystal
Pb 0.750 0.250 0.500
K 0.000 0.000 0.000
K 0.250 0.750 0.500
Mg 0.500 0.500 0.000
CELL_PARAMETERS angstrom
-1.090 -1.025 5.550
5.395 -1.842 0.733
-0.990 5.208 -2.216
```

Summary:
- Energy of formation: -0.0479 eV/atom


Density functional theory data (PBE) for an optimized crystal structure of K2MgPb2. Values from VASP.

Quantum ESPRESSO input file:
```
&SYSTEM
  ibrav = 0, nat = 10, ntyp = 3
/
ATOMIC_SPECIES
K 39.10 K.upf
Mg 24.30 Mg.upf
Pb 207.20 Pb.upf
ATOMIC_POSITIONS crystal
K 0.673 0.339 0.315
K 0.910 0.288 0.892
K 0.327 0.661 0.685
K 0.090 0.712 0.108
Mg 0.652 0.067 0.629
Mg 0.348 0.933 0.371
Pb 0.083 0.274 0.560
Pb 0.615 0.881 0.889
Pb 0.917 0.726 0.440
Pb 0.385 0.119 0.111
CELL_PARAMETERS angstrom
-5.168 1.443 0.022
-4.303 -5.429 -0.103
-2.716 0.084 10.988
```

Summary:
- Energy of formation: -0.1049 eV/atom


Density functional theory data (PBE) for an optimized crystal structure of K2MgPb. Values from VASP.

Quantum ESPRESSO input file:
```
&SYSTEM
  ibrav = 0, nat = 8, ntyp = 3
/
ATOMIC_SPECIES
Pb 207.20 Pb.upf
K 39.10 K.upf
Mg 24.30 Mg.upf
ATOMIC_POSITIONS crystal
Pb 0.000 0.000 0.000
Pb 0.750 0.250 0.500
K 0.632 0.125 0.250
K 0.118 0.625 0.250
K 0.375 0.368 0.750
K 0.875 0.882 0.750
Mg 0.500 0.500 0.000
Mg 0.250 0.750 0.500
CELL_PARAMETERS angstrom
10.021 0.000 0.000
0.000 10.021 0.000
5.010 5.010 3.236
```

Summary:
- Energy of formation: 0.1908 eV/atom


Density functional theory data (PBE) for an optimized crystal structure of KMg5Pb3. Values from VASP.

Quantum ESPRESSO input file:
```
&SYSTEM
  ibrav = 0, nat = 18, ntyp = 3
/
ATOMIC_SPECIES
K 39.10 K.upf
Mg 24.30 Mg.upf
Pb 207.20 Pb.upf
ATOMIC_POSITIONS crystal
K 0.837 0.675 0.750
K 0.163 0.325 0.250
Mg 0.809 0.618 0.439
Mg 0.191 0.382 0.939
Mg 0.000 0.000 0.500
Mg 0.000 0.000 0.000
Mg 0.444 0.888 0.143
Mg 0.556 0.112 0.857
Mg 0.556 0.112 0.643
Mg 0.809 0.618 0.061
Mg 0.191 0.382 0.561
Mg 0.444 0.888 0.357
Pb 0.380 0.760 0.945
Pb 0.875 0.751 0.250
Pb 0.380 0.760 0.555
Pb 0.620 0.240 0.445
Pb 0.125 0.249 0.750
Pb 0.620 0.240 0.055
CELL_PARAMETERS angstrom
-1.144 4.025 -1.962
-0.330 -5.629 -5.912
-14.195 -2.491 3.164
```

Summary:
- Energy of formation: -0.1041 eV/atom


Density functional theory data (PBE) for an optimized crystal structure of KMgPb. Values from VASP.

Quantum ESPRESSO input file:
```
&SYSTEM
  ibrav = 0, nat = 3, ntyp = 3
/
ATOMIC_SPECIES
K 39.10 K.upf
Mg 24.30 Mg.upf
Pb 207.20 Pb.upf
ATOMIC_POSITIONS crystal
K 0.500 0.500 0.500
Mg 0.750 0.750 0.750
Pb 0.000 0.000 0.000
CELL_PARAMETERS angstrom
-5.287 0.688 -0.428
-3.017 0.348 4.403
-2.208 4.676 1.366
```

Summary:
- Energy of formation: 0.1307 eV/atom


Density functional theory data (PBE) for an optimized crystal structure of KMgPb. Values from VASP.

Quantum ESPRESSO input file:
```
&SYSTEM
  ibrav = 0, nat = 3, ntyp = 3
/
ATOMIC_SPECIES
K 39.10 K.upf
Mg 24.30 Mg.upf
Pb 207.20 Pb.upf
ATOMIC_POSITIONS crystal
K 0.000 0.000 0.000
Mg 0.667 0.333 0.500
Pb 0.333 0.667 0.500
CELL_PARAMETERS angstrom
-3.457 1.138 -3.873
2.987 -4.386 -0.308
-2.895 -2.110 1.964
```

Summary:
- Energy of formation: -0.0622 eV/atom


Density functional theory data (PBE) for an optimized crystal structure of K3Mg2Pb4. Values from VASP.

Quantum ESPRESSO input file:
```
&SYSTEM
  ibrav = 0, nat = 9, ntyp = 3
/
ATOMIC_SPECIES
K 39.10 K.upf
Mg 24.30 Mg.upf
Pb 207.20 Pb.upf
ATOMIC_POSITIONS crystal
K 0.629 0.142 0.600
K 0.000 0.000 0.000
K 0.371 0.858 0.400
Mg 0.654 0.481 0.209
Mg 0.346 0.519 0.791
Pb 0.286 0.337 0.091
Pb 0.914 0.520 0.654
Pb 0.086 0.480 0.346
Pb 0.714 0.663 0.909
CELL_PARAMETERS angstrom
4.994 0.002 -0.001
2.497 6.590 0.632
2.494 3.499 10.636
```

Summary:
- Energy of formation: -0.1053 eV/atom


Density functional theory data (PBE) for an optimized crystal structure of KMg5Pb7. Values from VASP.

Quantum ESPRESSO input file:
```
&SYSTEM
  ibrav = 0, nat = 13, ntyp = 3
/
ATOMIC_SPECIES
K 39.10 K.upf
Mg 24.30 Mg.upf
Pb 207.20 Pb.upf
ATOMIC_POSITIONS crystal
K 0.997 0.003 0.003
Mg 0.501 0.997 0.498
Mg 0.004 0.997 0.498
Mg 0.501 0.498 0.997
Mg 0.004 0.498 0.997
Mg 0.732 0.768 0.768
Pb 0.643 0.357 0.357
Pb 0.337 0.663 0.663
Pb 0.994 0.348 0.663
Pb 0.994 0.663 0.348
Pb 0.270 0.230 0.230
Pb 0.510 0.792 0.187
Pb 0.510 0.187 0.792
CELL_PARAMETERS angstrom
0.288 0.172 6.268
7.550 -2.103 2.854
2.214 7.525 2.835
```

Summary:
- Energy of formation: -0.0599 eV/atom


Density functional theory data (PBE) for an optimized crystal structure of K2MgPb. Values from VASP.

Quantum ESPRESSO input file:
```
&SYSTEM
  ibrav = 0, nat = 4, ntyp = 3
/
ATOMIC_SPECIES
K 39.10 K.upf
Mg 24.30 Mg.upf
Pb 207.20 Pb.upf
ATOMIC_POSITIONS crystal
K 0.000 0.000 0.933
K 0.500 0.500 0.311
Mg 0.000 0.000 0.577
Pb 0.500 0.500 0.679
CELL_PARAMETERS angstrom
-1.423 -3.844 -0.405
3.753 -1.265 -1.133
2.328 -1.897 9.827
```

Summary:
- Energy of formation: 0.0042 eV/atom